First-principles (PBE) data for a geometry-optimized HfVCo5 structure, as listed in the Alexandria database.

Results
- calculated total energy (eV for the cell shown) = -224.57
- total magnetic moment (μB/f.u.) = 2.624
- DOS(E_F) (states/eV per cell) = 37.03

Lattice parameters (Å, degrees): 7.700 4.668 9.656 90.00 90.00 90.00
Space group Pnma (No. 62)
Unique sites:
1 Hf 0.249 0.250 0.058 [4 per cell]
2 V 0.132 0.250 0.355 [4 per cell]
3 Co 0.051 0.250 0.581 [4 per cell]
4 Co 0.067 0.507 0.806 [8 per cell]
5 Co 0.098 0.750 0.019 [4 per cell]
6 Co 0.189 0.750 0.253 [4 per cell]